Record 1
## Pr6Ho12Th (PBE)

Data for a relaxed Pr6Ho12Th crystal.

Cell and atoms, written as POSCAR:
```
Pr6Ho12Th
1.0
8.676 -0.208 -1.240
-1.400 8.565 -1.240
-0.181 -0.208 8.763
Ho Pr Th
12 6 1
Direct
0.245 0.500 0.755
0.349 0.078 0.349
0.651 0.922 0.651
0.922 0.651 0.651
0.755 0.500 0.245
0.078 0.349 0.349
0.349 0.349 0.078
0.651 0.651 0.922
0.755 0.245 0.500
0.245 0.755 0.500
0.500 0.245 0.755
0.500 0.755 0.245
0.100 0.100 0.658
0.658 0.100 0.100
0.100 0.658 0.100
0.900 0.900 0.342
0.900 0.342 0.900
0.342 0.900 0.900
0.000 0.000 0.000
```

Calculated values
- magnetic moment (μB/f.u.) = 0.00
- space group = R-3m
- raw total energy (eV/atom) = -4.56
- E_form (kJ per mole of atoms) = 22

=====

Record 2
## Pr4Ho3Th2 (PBE)

Data for a relaxed Pr4Ho3Th2 crystal.

Cell and atoms, written as POSCAR:
```
Pr4Ho3Th2
1.0
-3.395 0.025 5.212
-4.503 -8.950 -1.542
5.380 -7.067 4.887
Pr Ho Th
8 6 4
Direct
0.349 0.155 0.413
0.017 0.812 0.085
0.483 0.915 0.188
0.849 0.413 0.155
0.517 0.085 0.812
0.983 0.188 0.915
0.151 0.587 0.845
0.651 0.845 0.587
0.080 0.945 0.714
0.250 0.392 0.608
0.920 0.055 0.286
0.580 0.714 0.945
0.750 0.608 0.392
0.420 0.286 0.055
0.190 0.745 0.470
0.310 0.530 0.255
0.690 0.470 0.745
0.810 0.255 0.530
```

Calculated values
- magnetic moment (μB/f.u.) = 0.00
- space group = C2/c
- distance to the lowest polymorph of the same formula (meV per atom) = 36
- raw total energy (eV/atom) = -5.18
- E_form (kJ per mole of atoms) = 12

=====

Record 3
## Pr3Ho8Th3 (PBE)

Data for a relaxed Pr3Ho8Th3 crystal.

Cell and atoms, written as POSCAR:
```
Pr3Ho8Th3
1.0
5.542 0.000 1.114
2.731 9.271 0.747
1.055 -3.200 9.090
Pr Ho Th
3 8 3
Direct
0.191 0.810 0.810
0.809 0.190 0.190
0.500 0.500 0.500
0.159 0.445 0.236
0.159 0.236 0.445
0.657 0.117 0.568
0.343 0.883 0.432
0.841 0.764 0.555
0.343 0.432 0.883
0.657 0.568 0.117
0.841 0.555 0.764
0.000 0.186 0.814
0.500 0.000 0.000
0.000 0.814 0.186
```

Calculated values
- magnetic moment (μB/f.u.) = 0.00
- space group = Immm
- raw total energy (eV/atom) = -5.07
- E_form (kJ per mole of atoms) = 16

=====

Record 4
## Pr12Ho5Th (PBE)

Data for a relaxed Pr12Ho5Th crystal.

Cell and atoms, written as POSCAR:
```
Pr12Ho5Th
1.0
15.539 -0.001 0.002
7.769 7.748 0.001
0.001 0.000 5.178
Th Pr Ho
1 12 5
Direct
0.000 0.000 0.000
0.837 0.000 0.500
0.503 0.667 0.500
0.998 0.331 0.000
0.497 0.333 0.500
0.330 0.669 0.000
0.163 0.000 0.500
0.663 0.000 0.000
0.337 0.000 0.000
0.670 0.331 0.000
0.830 0.667 0.500
0.170 0.333 0.500
0.002 0.669 0.000
0.163 0.673 0.500
0.667 0.665 0.000
0.837 0.327 0.500
0.333 0.335 0.000
0.500 0.000 0.500
```

Calculated values
- magnetic moment (μB/f.u.) = 0.00
- space group = Cmmm
- raw total energy (eV/atom) = -4.84
- E_form (kJ per mole of atoms) = 3

=====

Q: What is the formula in the third record?
A: Pr3Ho8Th3

=====

Q: The highest raw total energy belongs to which entry?
A: Pr6Ho12Th